A plane-wave DFT calculation with PBE was carried out for a relaxed structure of Ac2TbHoS4.

Calculated values
Total DFT energy (no corrections) = -6.230 eV/atom

a = 6.9615 Å, b = 3.9994 Å, c = 7.3979 Å
α = 90.00°, β = 108.16°, γ = 90.00°
With the nearest neighbours (Å) after each atom.
Space group P2/m (No. 10)
One atom of each set of equivalent atoms:
Ac  0.0000  0.0000  0.0000 (multiplicity 1)  6 S 3.06
Ac  0.5000  0.5000  0.0000 (multiplicity 1)  6 S 3.04
Tb  0.0000  0.5000  0.5000 (multiplicity 1)  6 S 2.78-2.79
Ho  0.5000  0.0000  0.5000 (multiplicity 1)  6 S 2.76-2.77
S  0.2410  0.0000  0.7181 (multiplicity 2)  1 Ho 2.77, 2 Tb 2.78, 3 Ac 3.04-3.06
S  0.2635  0.5000  0.2832 (multiplicity 2)  2 Ho 2.76, 1 Tb 2.79, 3 Ac 3.04-3.06


A plane-wave DFT calculation with PBE was carried out for a relaxed structure of AcTbHo2S6.

Calculated values
Total DFT energy (no corrections) = -6.344 eV/atom

a = 7.0726 Å, b = 7.0726 Å, c = 18.5564 Å
α = 90.00°, β = 90.00°, γ = 120.00°
With the nearest neighbours (Å) after each atom.
Space group R3 (No. 146, hexagonal axes)
One atom of each set of equivalent atoms:
Ac  0.0000  0.0000  0.0000 (multiplicity 3)  6 S 2.93-3.08
Tb  0.0000  0.0000  0.4862 (multiplicity 3)  6 S 2.77-2.80
Ho  0.0000  0.0000  0.2821 (multiplicity 3)  6 S 2.71-2.76
Ho  0.0000  0.0000  0.7888 (multiplicity 3)  6 S 2.68-2.77
S  0.0107  0.3108  0.8818 (multiplicity 9)  2 Ho 2.71-2.77, 1 Tb 2.77
S  0.0245  0.6190  0.0493 (multiplicity 9)  2 Ho 2.68-2.76, 1 Tb 2.80, 1 Ac 2.93


A plane-wave DFT calculation with PBE was carried out for a relaxed structure of Ac3Tb3HoS8.

Calculated values
Total DFT energy (no corrections) = -6.295 eV/atom

a = 8.0535 Å, b = 8.0535 Å, c = 20.7164 Å
α = 90.00°, β = 90.00°, γ = 120.00°
With the nearest neighbours (Å) after each atom.
Space group R-3m (No. 166, hexagonal axes)
One atom of each set of equivalent atoms:
Ac  0.0000  0.5000  0.0000 (multiplicity 9)  6 S 3.01-3.02
Tb  0.0000  0.5000  0.5000 (multiplicity 9)  6 S 2.78-2.79
Ho  0.0000  0.0000  0.5000 (multiplicity 3)  6 S 2.78
S  0.0000  0.0000  0.2406 (multiplicity 6)  3 Tb 2.78, 3 Ac 3.02
S  0.0010  0.5005  0.2408 (multiplicity 18)  1 Ho 2.78, 2 Tb 2.79, 2 Ac 3.01


A plane-wave DFT calculation with PBE was carried out for a relaxed structure of AcTbHo2S4.

Calculated values
Total DFT energy (no corrections) = -6.253 eV/atom

a = 6.9082 Å, b = 3.9425 Å, c = 7.0535 Å
α = 90.00°, β = 108.69°, γ = 90.00°
With the nearest neighbours (Å) after each atom.
Space group P2/m (No. 10)
One atom of each set of equivalent atoms:
Ac  0.0000  0.0000  0.0000 (multiplicity 1)  6 S 2.95-2.96
Tb  0.5000  0.5000  0.0000 (multiplicity 1)  6 S 2.86-2.87
Ho  0.0000  0.5000  0.5000 (multiplicity 1)  6 S 2.81-2.82
Ho  0.5000  0.0000  0.5000 (multiplicity 1)  6 S 2.71-2.72
S  0.2564  0.0000  0.7359 (multiplicity 2)  3 Ho 2.72-2.81, 2 Tb 2.86, 1 Ac 2.95
S  0.2693  0.5000  0.2733 (multiplicity 2)  3 Ho 2.71-2.82, 1 Tb 2.87, 2 Ac 2.96


A plane-wave DFT calculation with PBE was carried out for a relaxed structure of AcHoTl2S4.

Calculated values
Total DFT energy (no corrections) = -5.212 eV/atom

a = 7.3322 Å, b = 4.2208 Å, c = 7.8696 Å
α = 90.00°, β = 107.96°, γ = 90.00°
With the nearest neighbours (Å) after each atom.
Space group P2/m (No. 10)
One atom of each set of equivalent atoms:
Ac  0.0000  0.0000  0.0000 (multiplicity 1)  6 S 2.96-2.97
Ho  0.5000  0.5000  0.0000 (multiplicity 1)  6 S 2.76-2.81
Tl  0.0000  0.5000  0.5000 (multiplicity 1)  6 S 3.37-3.40
Tl  0.5000  0.0000  0.5000 (multiplicity 1)  6 S 3.22-3.23
S  0.2561  0.5000  0.2066 (multiplicity 2)  1 Ho 2.76, 2 Ac 2.96
S  0.2845  0.0000  0.8006 (multiplicity 2)  2 Ho 2.81, 1 Ac 2.97


A plane-wave DFT calculation with PBE was carried out for a relaxed structure of Ac2HoTl3S6.

Calculated values
Total DFT energy (no corrections) = -5.207 eV/atom

a = 7.4500 Å, b = 12.8783 Å, c = 7.8571 Å
α = 90.00°, β = 108.32°, γ = 90.00°
With the nearest neighbours (Å) after each atom.
Space group C2/m (No. 12)
One atom of each set of equivalent atoms:
Ac  0.0000  0.1669  0.0000 (multiplicity 4)  6 S 2.98-3.00
Ho  0.0000  0.5000  0.0000 (multiplicity 2)  6 S 2.77-2.80
Tl  0.0000  0.0000  0.5000 (multiplicity 2)  6 S 3.26-3.41
Tl  0.0000  0.3351  0.5000 (multiplicity 4)  6 S 3.23-3.46
S  0.2241  0.3443  0.2039 (multiplicity 8)  1 Ho 2.77, 2 Ac 2.98
S  0.2428  0.5000  0.7910 (multiplicity 4)  1 Ho 2.80, 2 Ac 3.00


A plane-wave DFT calculation with PBE was carried out for a relaxed structure of AcHoTm2S6.

Calculated values
Total DFT energy (no corrections) = -6.316 eV/atom

a = 7.0178 Å, b = 7.0178 Å, c = 18.4127 Å
α = 90.00°, β = 90.00°, γ = 120.00°
With the nearest neighbours (Å) after each atom.
Space group R3 (No. 146, hexagonal axes)
One atom of each set of equivalent atoms:
Ac  0.0000  0.0000  0.0000 (multiplicity 3)  6 S 2.93-3.09
Ho  0.0000  0.0000  0.5162 (multiplicity 3)  6 S 2.75-2.77
Tm  0.0000  0.0000  0.2117 (multiplicity 3)  6 S 2.66-2.74
Tm  0.0000  0.0000  0.7193 (multiplicity 3)  6 S 2.69-2.73
S  0.0320  0.3540  0.7868 (multiplicity 9)  2 Tm 2.69-2.74, 1 Ho 2.75
S  0.0756  0.7195  0.2859 (multiplicity 9)  2 Tm 2.66-2.73, 1 Ho 2.77, 1 Ac 2.93


A plane-wave DFT calculation with PBE was carried out for a relaxed structure of AcHo2TmS6.

Calculated values
Total DFT energy (no corrections) = -6.323 eV/atom

a = 7.0330 Å, b = 7.0330 Å, c = 18.5374 Å
α = 90.00°, β = 90.00°, γ = 120.00°
With the nearest neighbours (Å) after each atom.
Space group R3 (No. 146, hexagonal axes)
One atom of each set of equivalent atoms:
Ac  0.0000  0.0000  0.0000 (multiplicity 3)  6 S 2.92-3.08
Ho  0.0000  0.0000  0.2811 (multiplicity 3)  6 S 2.71-2.76
Ho  0.0000  0.0000  0.7895 (multiplicity 3)  6 S 2.68-2.77
Tm  0.0000  0.0000  0.4837 (multiplicity 3)  6 S 2.73-2.74
S  0.0029  0.3103  0.8818 (multiplicity 9)  2 Ho 2.71-2.77, 1 Tm 2.73
S  0.0261  0.6193  0.0498 (multiplicity 9)  2 Ho 2.68-2.76, 1 Tm 2.74, 1 Ac 2.92


A plane-wave DFT calculation with PBE was carried out for a relaxed structure of Ac2HoVS6.

Calculated values
Total DFT energy (no corrections) = -6.317 eV/atom

a = 7.1288 Å, b = 9.9841 Å, c = 6.8977 Å
α = 90.00°, β = 90.00°, γ = 90.00°
With the nearest neighbours (Å) after each atom.
Space group Pmmn (No. 59, origin choice 2)
One atom of each set of equivalent atoms:
Ac  0.2500  0.0440  0.2090 (multiplicity 4)  5 S 3.08-3.16
Ho  0.2500  0.7500  0.7586 (multiplicity 2)  6 S 2.57-2.62
V  0.2500  0.2500  0.7285 (multiplicity 2)  6 S 2.35-2.40
S  0.0089  0.2500  0.9711 (multiplicity 4)  1 V 2.40, 1 Ho 2.62
S  0.0321  0.2500  0.4737 (multiplicity 4)  1 V 2.35, 1 Ho 2.57
S  0.2500  0.0120  0.7653 (multiplicity 4)  1 V 2.39, 1 Ho 2.62


Number 1: uncorrected formation energy -1989 meV per atom. Number 2: uncorrected formation energy -2078 meV per atom. Number 3: uncorrected formation energy -2041 meV per atom. Number 4: uncorrected formation energy -1953 meV per atom. Number 5: uncorrected formation energy -1471 meV per atom. Number 6: uncorrected formation energy -1485 meV per atom. Number 7: uncorrected formation energy -2077 meV per atom. Number 8: uncorrected formation energy -2073 meV per atom. Number 9: uncorrected formation energy -1649 meV per atom.